A plane-wave DFT calculation with PBE-GGA was carried out for DyTm4Rh5 after structural relaxation.

abc: 3.3461 3.3461 17.3450
angles: 90.00 90.00 90.00
Last column: nearest neighbours and their distance in Å.
Sites, in units of the cell vectors:
Rh 0.5000 0.5000 0.3012  8 Tm 2.93
Rh 0.5000 0.5000 0.1028  4 Tm 2.92, 4 Dy 2.96
Rh 0.5000 0.5000 0.5000  8 Tm 2.93
Rh 0.5000 0.5000 0.6988  8 Tm 2.93
Rh 0.5000 0.5000 0.8972  4 Tm 2.92, 4 Dy 2.96
Dy 0.0000 0.0000 0.0000  8 Rh 2.96
Tm 0.0000 0.0000 0.2014  8 Rh 2.92-2.93
Tm 0.0000 0.0000 0.4006  8 Rh 2.93
Tm 0.0000 0.0000 0.7986  8 Rh 2.92-2.93
Tm 0.0000 0.0000 0.5994  8 Rh 2.93

Results
Total DFT energy (no corrections) (eV per atom): -6.87
Size of the total moment (μB/atom): 0.00
E_form (eV per atom): -0.945